## Ce5InPb6 (PBE)

Data for an optimized crystal structure of Ce5InPb6.

```
Ce5InPb6
1.0
-4.739 1.014 -0.707
-2.245 -8.739 2.520
2.885 6.128 6.409
Pb Ce In
6 5 1
Cartesian
-3.327 -0.163 5.102
-2.214 4.169 3.853
-4.035 -5.976 1.515
-2.949 -1.749 0.297
-1.885 -5.767 4.368
-0.772 -1.434 3.119
-2.548 1.173 1.798
-0.404 1.506 4.863
-1.122 -4.370 1.260
-3.696 -3.104 3.358
-1.551 -2.771 6.423
0.000 0.000 0.000
```

Properties
Formation energy: -0.375 eV/atom
V: 352.5 Å³/cell
Total energy: -4.930 eV per atom